(1)
Computed, not measured: a relaxed structure of Pm4Er7Tm at the PBE level of DFT.

Unit cell a=6.513 b=6.788 c=9.034 alpha=84.98 beta=77.09 gamma=81.65
Sites, in units of the cell vectors:
Pm 0.140 0.310 0.284
Pm 0.337 0.883 0.694
Pm 0.663 0.117 0.306
Pm 0.860 0.690 0.716
Er 0.011 0.253 0.950
Er 0.182 0.801 0.358
Er 0.312 0.394 0.617
Er 0.500 0.000 0.000
Er 0.688 0.606 0.383
Er 0.818 0.199 0.642
Er 0.989 0.747 0.050
Tm 0.500 0.500 0.000

## Properties
- N(E_F): 1.5774 states/eV per atom

=====

(2)
Computed, not measured: a relaxed structure of Pm4Er7Tm at the PBE level of DFT.

Unit cell a=6.704 b=6.704 c=12.736 alpha=115.16 beta=115.16 gamma=51.90
Sites, in units of the cell vectors:
Pm 0.055 0.055 0.337
Pm 0.365 0.365 0.223
Pm 0.635 0.635 0.777
Pm 0.945 0.945 0.663
Er 0.000 0.000 0.000
Er 0.212 0.212 0.924
Er 0.263 0.263 0.693
Er 0.362 0.362 0.493
Er 0.638 0.638 0.507
Er 0.737 0.737 0.307
Er 0.788 0.788 0.076
Tm 0.500 0.500 0.000

## Properties
- N(E_F): 1.6923 states/eV per atom

=====

What is the stability order? It is (1), (2), from most stable to least stable.